This record from Alexandria via LeMat-Bulk describes a relaxed Mn2SbP crystal. The functional is GGA-PBEsol.

Cell: 3.2085 3.2085 5.6164 Å, 90.00 90.00 90.00°
With the nearest neighbours (Å) after each atom.
Space group P4mm (No. 99)
One atom of each set of equivalent atoms:
Mn (0.0000, 0.0000, 0.0000)  1 P 2.21
Mn (0.5000, 0.5000, 0.2820)  4 P 2.35
Sb (0.5000, 0.5000, 0.7731)  6 Mn 2.60-2.86
P (0.0000, 0.0000, 0.3936)  5 Mn 2.21-2.35

V ... 57.8 Å³ per cell
Formation energy without anion corrections ... -93 meV/atom